# 1
## Na3CrAsCO7 (GGA+U)

Data for crystalline Na3CrAsCO7 at its relaxed geometry.

## Properties
Space group ... P2_1/m (11)
Total energy ... -6.291 eV per atom

Cell: 5.3480 6.8575 9.3259 Å, 90.00 91.85 90.00°
Closest atoms and distances in Å follow each position.
Fractional coordinates of all 26 atoms:
Na1 0.2042 0.2500 0.0856  5 O 2.36-2.54
Na2 0.2530 0.5018 0.7442  4 O 2.30-2.52
Na3 0.2530 0.9982 0.7442  4 O 2.30-2.52
Na4 0.7470 0.0018 0.2558  4 O 2.30-2.52
Na5 0.7470 0.4982 0.2558  4 O 2.30-2.52
Na6 0.7958 0.7500 0.9144  5 O 2.36-2.54
Cr1 0.2281 0.7500 0.3472  5 O 2.09-2.33
Cr2 0.7719 0.2500 0.6528  5 O 2.09-2.33
As1 0.3142 0.2500 0.4197  4 O 1.70-1.74
As2 0.6858 0.7500 0.5803  4 O 1.70-1.74
C1 0.2926 0.7500 0.0486  3 O 1.29-1.32
C2 0.7074 0.2500 0.9514  3 O 1.29-1.32
O1 0.0972 0.7500 0.1310  1 C 1.32
O2 0.1875 0.2500 0.5851  1 As 1.70
O3 0.2306 0.0532 0.3122  1 As 1.73
O4 0.2306 0.4468 0.3122  1 As 1.73
O5 0.2532 0.7500 0.9105  1 C 1.30
O6 0.3614 0.7500 0.5598  1 As 1.74
O7 0.4837 0.2500 0.8948  1 C 1.29
O8 0.5163 0.7500 0.1052  1 C 1.29
O9 0.6386 0.2500 0.4402  1 As 1.74
O10 0.7468 0.2500 0.0895  1 C 1.30
O11 0.7694 0.5532 0.6878  1 As 1.73
O12 0.7694 0.9468 0.6878  1 As 1.73
O13 0.8125 0.7500 0.4149  1 As 1.70
O14 0.9028 0.2500 0.8690  1 C 1.32

=====

# 2
## Na6Cr2AsC4O16 (GGA+U)

Data for crystalline Na6Cr2AsC4O16 at its relaxed geometry.

## Properties
Space group ... Fd-3 (203)
Total energy ... -6.578 eV per atom

Cell: 9.9975 9.9975 9.9975 Å, 60.00 60.00 60.00°
Closest atoms and distances in Å follow each position.
Fractional coordinates of all 58 atoms:
Na1 0.0833 0.0833 0.6667  6 O 2.41-2.53
Na2 0.0833 0.6667 0.0833  6 O 2.41-2.53
Na3 0.0833 0.6667 0.6667  6 O 2.41-2.53
Na4 0.3333 0.3333 0.9167  6 O 2.41-2.53
Na5 0.3333 0.9167 0.3333  6 O 2.41-2.53
Na6 0.3333 0.9167 0.9167  6 O 2.41-2.53
Na7 0.6667 0.0833 0.0833  6 O 2.41-2.53
Na8 0.6667 0.0833 0.6667  6 O 2.41-2.53
Na9 0.6667 0.6667 0.0833  6 O 2.41-2.53
Na10 0.9167 0.3333 0.3333  6 O 2.41-2.53
Na11 0.9167 0.3333 0.9167  6 O 2.41-2.53
Na12 0.9167 0.9167 0.3333  6 O 2.41-2.53
Cr1 0.0000 0.5000 0.5000  6 O 2.09
Cr2 0.5000 0.0000 0.5000  6 O 2.09
Cr3 0.5000 0.5000 0.0000  6 O 2.09
Cr4 0.5000 0.5000 0.5000  6 O 2.09
As1 0.1250 0.1250 0.1250  4 O 1.72
As2 0.8750 0.8750 0.8750  4 O 1.72
C1 0.2851 0.2851 0.2851  3 O 1.30
C2 0.2851 0.2851 0.6446  3 O 1.30
C3 0.2851 0.6446 0.2851  3 O 1.30
C4 0.3554 0.7149 0.7149  3 O 1.30
C5 0.6446 0.2851 0.2851  3 O 1.30
C6 0.7149 0.3554 0.7149  3 O 1.30
C7 0.7149 0.7149 0.3554  3 O 1.30
C8 0.7149 0.7149 0.7149  3 O 1.30
O1 0.0546 0.0546 0.0546  1 As 1.72
O2 0.0546 0.0546 0.3361  1 As 1.72
O3 0.0546 0.3361 0.0546  1 As 1.72
O4 0.1426 0.3116 0.6471  1 C 1.30
O5 0.1426 0.3987 0.3116  1 C 1.30
O6 0.1426 0.6471 0.3987  1 C 1.30
O7 0.3116 0.1426 0.3987  1 C 1.30
O8 0.3116 0.3987 0.6471  1 C 1.30
O9 0.3116 0.6471 0.1426  1 C 1.30
O10 0.3361 0.0546 0.0546  1 As 1.72
O11 0.3529 0.6013 0.8574  1 C 1.30
O12 0.3529 0.6884 0.6013  1 C 1.30
O13 0.3529 0.8574 0.6884  1 C 1.30
O14 0.3987 0.1426 0.6471  1 C 1.30
O15 0.3987 0.3116 0.1426  1 C 1.30
O16 0.3987 0.6471 0.3116  1 C 1.30
O17 0.6013 0.3529 0.6884  1 C 1.30
O18 0.6013 0.6884 0.8574  1 C 1.30
O19 0.6013 0.8574 0.3529  1 C 1.30
O20 0.6471 0.1426 0.3116  1 C 1.30
O21 0.6471 0.3116 0.3987  1 C 1.30
O22 0.6471 0.3987 0.1426  1 C 1.30
O23 0.6639 0.9454 0.9454  1 As 1.72
O24 0.6884 0.3529 0.8574  1 C 1.30
O25 0.6884 0.6013 0.3529  1 C 1.30
O26 0.6884 0.8574 0.6013  1 C 1.30
O27 0.8574 0.3529 0.6013  1 C 1.30
O28 0.8574 0.6013 0.6884  1 C 1.30
O29 0.8574 0.6884 0.3529  1 C 1.30
O30 0.9454 0.6639 0.9454  1 As 1.72
O31 0.9454 0.9454 0.6639  1 As 1.72
O32 0.9454 0.9454 0.9454  1 As 1.72

=====

# 3
## Na2CrAsCO7 (GGA+U)

Data for crystalline Na2CrAsCO7 at its relaxed geometry.

## Properties
Space group ... P2_1/m (11)
Total energy ... -6.564 eV per atom

Cell: 5.3642 6.7302 9.1354 Å, 90.00 92.39 90.00°
Closest atoms and distances in Å follow each position.
Fractional coordinates of all 24 atoms:
Na1 0.2344 0.0021 0.2800  5 O 2.28-2.46
Na2 0.2344 0.4979 0.2800  5 O 2.28-2.46
Na3 0.7656 0.5021 0.7200  5 O 2.28-2.46
Na4 0.7656 0.9979 0.7200  5 O 2.28-2.46
Cr1 0.2107 0.2500 0.8452  6 O 2.02-2.05
Cr2 0.7893 0.7500 0.1548  6 O 2.02-2.05
As1 0.2841 0.7500 0.9253  4 O 1.71-1.74
As2 0.7159 0.2500 0.0747  4 O 1.71-1.74
C1 0.2797 0.2500 0.5800  3 O 1.25-1.33
C2 0.7203 0.7500 0.4200  3 O 1.25-1.33
O1 0.0575 0.2500 0.6370  1 C 1.32
O2 0.1465 0.7500 0.0920  1 As 1.72
O3 0.1941 0.5484 0.8217  1 As 1.71
O4 0.1941 0.9516 0.8217  1 As 1.71
O5 0.3154 0.2500 0.4455  1 C 1.25
O6 0.3936 0.2500 0.0452  1 As 1.74
O7 0.4628 0.2500 0.6825  1 C 1.33
O8 0.5372 0.7500 0.3175  1 C 1.33
O9 0.6064 0.7500 0.9548  1 As 1.74
O10 0.6846 0.7500 0.5545  1 C 1.25
O11 0.8059 0.0484 0.1783  1 As 1.71
O12 0.8059 0.4516 0.1783  1 As 1.71
O13 0.8535 0.2500 0.9080  1 As 1.72
O14 0.9425 0.7500 0.3630  1 C 1.32

=====

# 4
## Na4Cr2AsC4O16 (GGA+U)

Data for crystalline Na4Cr2AsC4O16 at its relaxed geometry.

## Properties
Space group ... Fddd (70)
Total energy ... -6.739 eV per atom

Cell: 10.0088 9.9671 9.8392 Å, 60.70 60.28 59.02°
Closest atoms and distances in Å follow each position.
Fractional coordinates of all 54 atoms:
Na1 0.0885 0.6615 0.0885  6 O 2.39-2.54
Na2 0.0885 0.6615 0.6615  6 O 2.38-2.59
Na3 0.3385 0.9115 0.3385  6 O 2.39-2.54
Na4 0.3385 0.9115 0.9115  6 O 2.38-2.59
Na5 0.6615 0.0885 0.0885  6 O 2.38-2.59
Na6 0.6615 0.0885 0.6615  6 O 2.39-2.54
Na7 0.9115 0.3385 0.3385  6 O 2.38-2.59
Na8 0.9115 0.3385 0.9115  6 O 2.39-2.54
Cr1 0.0000 0.5000 0.5000  6 O 2.03-2.04
Cr2 0.5000 0.0000 0.5000  6 O 2.03-2.04
Cr3 0.5000 0.5000 0.0000  6 O 2.03-2.04
Cr4 0.5000 0.5000 0.5000  6 O 2.03-2.04
As1 0.1250 0.1250 0.1250  4 O 1.72
As2 0.8750 0.8750 0.8750  4 O 1.72
C1 0.2840 0.6351 0.2921  3 O 1.29-1.31
C2 0.2889 0.2921 0.6351  3 O 1.29-1.31
C3 0.2921 0.2889 0.2840  3 O 1.29-1.31
C4 0.3649 0.7160 0.7111  3 O 1.29-1.31
C5 0.6351 0.2840 0.2889  3 O 1.29-1.31
C6 0.7079 0.7111 0.7160  3 O 1.29-1.31
C7 0.7111 0.7079 0.3649  3 O 1.29-1.31
C8 0.7160 0.3649 0.7079  3 O 1.29-1.31
O1 0.0414 0.3369 0.0607  1 As 1.72
O2 0.0607 0.0610 0.0414  1 As 1.72
O3 0.0610 0.0607 0.3369  1 As 1.72
O4 0.1450 0.3195 0.6410  1 C 1.30
O5 0.1454 0.4031 0.3103  1 C 1.31
O6 0.1446 0.6316 0.4065  1 C 1.29
O7 0.3103 0.6412 0.1454  1 C 1.31
O8 0.3173 0.4065 0.6316  1 C 1.29
O9 0.3195 0.1450 0.3945  1 C 1.30
O10 0.3369 0.0414 0.0610  1 As 1.72
O11 0.3590 0.6055 0.8550  1 C 1.30
O12 0.3588 0.6897 0.5969  1 C 1.31
O13 0.3684 0.8554 0.6827  1 C 1.29
O14 0.3945 0.6410 0.3195  1 C 1.30
O15 0.4031 0.1454 0.6412  1 C 1.31
O16 0.4065 0.3173 0.1446  1 C 1.29
O17 0.5935 0.6827 0.8554  1 C 1.29
O18 0.5969 0.8546 0.3588  1 C 1.31
O19 0.6055 0.3590 0.6805  1 C 1.30
O20 0.6316 0.1446 0.3173  1 C 1.29
O21 0.6412 0.3103 0.4031  1 C 1.31
O22 0.6410 0.3945 0.1450  1 C 1.30
O23 0.6631 0.9586 0.9390  1 As 1.72
O24 0.6805 0.8550 0.6055  1 C 1.30
O25 0.6827 0.5935 0.3684  1 C 1.29
O26 0.6897 0.3588 0.8546  1 C 1.31
O27 0.8554 0.3684 0.5935  1 C 1.29
O28 0.8546 0.5969 0.6897  1 C 1.31
O29 0.8550 0.6805 0.3590  1 C 1.30
O30 0.9390 0.9393 0.6631  1 As 1.72
O31 0.9393 0.9390 0.9586  1 As 1.72
O32 0.9586 0.6631 0.9393  1 As 1.72

=====

# 5
## NaCrAsCO7 (GGA+U)

Data for crystalline NaCrAsCO7 at its relaxed geometry.

## Properties
Space group ... P2_1 (4)
Total energy ... -6.647 eV per atom

Cell: 5.3874 6.4574 9.4074 Å, 90.00 91.22 90.00°
Closest atoms and distances in Å follow each position.
Fractional coordinates of all 22 atoms:
Na1 0.2024 0.0000 0.3034  4 O 2.27-2.46
Na2 0.7976 0.5000 0.6966  4 O 2.27-2.46
Cr1 0.2172 0.7784 0.8384  6 O 1.86-2.00
Cr2 0.7828 0.2784 0.1616  6 O 1.86-2.00
As1 0.2838 0.2719 0.9371  4 O 1.71-1.73
As2 0.7162 0.7719 0.0629  4 O 1.71-1.73
C1 0.3120 0.7670 0.5900  3 O 1.23-1.36
C2 0.6880 0.2670 0.4100  3 O 1.23-1.36
O1 0.0836 0.7710 0.6385  1 C 1.32
O2 0.1178 0.2605 0.0903  1 As 1.71
O3 0.1959 0.4733 0.8286  1 As 1.71
O4 0.2121 0.0664 0.8251  1 As 1.73, 1 Cr 1.86
O5 0.3741 0.7786 0.4652  1 C 1.23
O6 0.4035 0.7822 0.0243  1 As 1.72
O7 0.4756 0.7523 0.7011  1 C 1.36
O8 0.5244 0.2523 0.2989  1 C 1.36
O9 0.5965 0.2822 0.9757  1 As 1.72
O10 0.6259 0.2786 0.5348  1 C 1.23
O11 0.7879 0.5664 0.1749  1 As 1.73, 1 Cr 1.86
O12 0.8041 0.9733 0.1714  1 As 1.71
O13 0.8822 0.7605 0.9097  1 As 1.71
O14 0.9164 0.2710 0.3615  1 C 1.32